Compound: Ca3Zn2Ni3
Source: Alexandria via LeMat-Bulk
Functional: PBE
Structure: optimized geometry

a = 7.6120 Å, b = 14.4217 Å, c = 5.9167 Å
α = 90.00°, β = 90.00°, γ = 90.00°
Last column: nearest neighbours and their distance in Å.
Element x y z (fractional)
Ca 0.0259 0.1082 0.1380  5 Ni 2.85-3.12, 2 Zn 3.09-3.14
Ca 0.0259 0.3918 0.1380  5 Ni 2.85-3.12, 2 Zn 3.09-3.14
Ca 0.1157 0.7500 0.3897  4 Ni 2.89-2.99, 4 Zn 3.09-3.13
Ca 0.3843 0.2500 0.8897  4 Ni 2.89-2.99, 4 Zn 3.09-3.13
Ca 0.4741 0.6082 0.6380  5 Ni 2.85-3.12, 2 Zn 3.09-3.14
Ca 0.4741 0.8918 0.6380  5 Ni 2.85-3.12, 2 Zn 3.09-3.14
Ca 0.5259 0.1082 0.3620  5 Ni 2.85-3.12, 2 Zn 3.09-3.14
Ca 0.5259 0.3918 0.3620  5 Ni 2.85-3.12, 2 Zn 3.09-3.14
Ca 0.6157 0.7500 0.1103  4 Ni 2.89-2.99, 4 Zn 3.09-3.13
Ca 0.8843 0.2500 0.6103  4 Ni 2.89-2.99, 4 Zn 3.09-3.13
Ca 0.9741 0.6082 0.8620  5 Ni 2.85-3.12, 2 Zn 3.09-3.14
Ca 0.9741 0.8918 0.8620  5 Ni 2.85-3.12, 2 Zn 3.09-3.14
Zn 0.1783 0.0985 0.6308  4 Ni 2.42-2.54
Zn 0.1783 0.4015 0.6308  4 Ni 2.42-2.54
Zn 0.3217 0.5985 0.1308  4 Ni 2.42-2.54
Zn 0.3217 0.9015 0.1308  4 Ni 2.42-2.54
Zn 0.6783 0.0985 0.8692  4 Ni 2.42-2.54
Zn 0.6783 0.4015 0.8692  4 Ni 2.42-2.54
Zn 0.8217 0.5985 0.3692  4 Ni 2.42-2.54
Zn 0.8217 0.9015 0.3692  4 Ni 2.42-2.54
Ni 0.1218 0.5439 0.4186  3 Zn 2.42-2.45, 1 Ni 2.44
Ni 0.1218 0.9561 0.4186  3 Zn 2.42-2.45, 1 Ni 2.44
Ni 0.2352 0.2500 0.4227  2 Zn 2.54
Ni 0.2648 0.7500 0.9227  2 Zn 2.54
Ni 0.3782 0.0439 0.9186  3 Zn 2.42-2.45, 1 Ni 2.44
Ni 0.3782 0.4561 0.9186  3 Zn 2.42-2.45, 1 Ni 2.44
Ni 0.6218 0.5439 0.0814  3 Zn 2.42-2.45, 1 Ni 2.44
Ni 0.6218 0.9561 0.0814  3 Zn 2.42-2.45, 1 Ni 2.44
Ni 0.7352 0.2500 0.0773  2 Zn 2.54
Ni 0.7648 0.7500 0.5773  2 Zn 2.54
Ni 0.8782 0.0439 0.5814  3 Zn 2.42-2.45, 1 Ni 2.44
Ni 0.8782 0.4561 0.5814  3 Zn 2.42-2.45, 1 Ni 2.44

Computed properties:
Energy relative to the elements, eV/f.u.: -1.50